(1)
# PBE-GGA ThSiIr, relaxed
data_ThSiIr
_symmetry_space_group_name_H-M 'P -6 m 2'
_symmetry_Int_Tables_number 187
_symmetry_space_group_name_Hall 'P -6 2'
_cell_length_a 4.2237
_cell_length_b 4.2237
_cell_length_c 4.0786
_cell_angle_alpha 90.00
_cell_angle_beta 90.00
_cell_angle_gamma 120.00
loop_
_atom_site_label
_atom_site_type_symbol
_atom_site_fract_x
_atom_site_fract_y
_atom_site_fract_z
Th1 Th 0.0000 0.0000 0.0000
Si1 Si 0.3333 0.6667 0.5000
Ir1 Ir 0.6667 0.3333 0.5000
# - raw total energy (eV per atom) = -8.21
# - raw formation energy (eV per atom) = -0.97

---

(2)
# PBE-GGA Tm2AgSeS3, relaxed
data_Tm2AgSeS3
_symmetry_space_group_name_H-M 'R -3 m'
_symmetry_Int_Tables_number 166
_symmetry_space_group_name_Hall '-R 3 2"'
_cell_length_a 7.9507
_cell_length_b 7.9507
_cell_length_c 19.3453
_cell_angle_alpha 90.00
_cell_angle_beta 90.00
_cell_angle_gamma 120.00
loop_
_atom_site_label
_atom_site_type_symbol
_atom_site_fract_x
_atom_site_fract_y
_atom_site_fract_z
Tm1 Tm 0.0000 0.0000 0.0000
Tm2 Tm 0.0000 0.5000 0.5000
Ag1 Ag 0.0000 0.0000 0.3887
Se1 Se 0.0000 0.0000 0.2511
S1 S 0.0255 0.5128 0.7540
# - raw total energy (eV per atom) = -5.33
# - raw formation energy (eV per atom) = -1.38

---

(3)
# PBE-GGA SrB2F6, relaxed
data_SrB2F6
_symmetry_space_group_name_H-M 'C 1 2/c 1'
_symmetry_Int_Tables_number 15
_symmetry_space_group_name_Hall '-C 2yc'
_cell_length_a 9.781
_cell_length_b 8.446
_cell_length_c 5.757
_cell_angle_alpha 90.00
_cell_angle_beta 103.40
_cell_angle_gamma 90.00
loop_
_atom_site_label
_atom_site_type_symbol
_atom_site_fract_x
_atom_site_fract_y
_atom_site_fract_z
Sr1 Sr 0.000 0.192 0.250
B1 B 0.224 0.181 0.886
F1 F 0.127 0.061 0.947
F2 F 0.147 0.248 0.662
F3 F 0.160 0.404 0.169
# - raw total energy (eV per atom) = -5.86
# - raw formation energy (eV per atom) = -2.94

---

(4)
# PBE-GGA CrGeRu2Se, relaxed
data_CrGeRu2Se
_symmetry_space_group_name_H-M 'P 4/m m m'
_symmetry_Int_Tables_number 123
_symmetry_space_group_name_Hall '-P 4 2'
_cell_length_a 4.477
_cell_length_b 4.477
_cell_length_c 4.551
_cell_angle_alpha 90.00
_cell_angle_beta 90.00
_cell_angle_gamma 90.00
loop_
_atom_site_label
_atom_site_type_symbol
_atom_site_fract_x
_atom_site_fract_y
_atom_site_fract_z
Cr1 Cr 0.000 0.000 0.000
Ge1 Ge 0.000 0.000 0.500
Ru1 Ru 0.000 0.500 0.000
Se1 Se 0.500 0.500 0.500
# - raw total energy (eV per atom) = -6.24
# - raw formation energy (eV per atom) = 1.02

---

(5)
# PBE-GGA Li3CuSb, relaxed
data_Li3CuSb
_symmetry_space_group_name_H-M 'P m -3 m'
_symmetry_Int_Tables_number 221
_symmetry_space_group_name_Hall '-P 4 2 3'
_cell_length_a 5.111
_cell_length_b 5.111
_cell_length_c 5.111
_cell_angle_alpha 90.00
_cell_angle_beta 90.00
_cell_angle_gamma 90.00
loop_
_atom_site_label
_atom_site_type_symbol
_atom_site_fract_x
_atom_site_fract_y
_atom_site_fract_z
Li1 Li 0.000 0.000 0.500
Cu1 Cu 0.500 0.500 0.500
Sb1 Sb 0.000 0.000 0.000
# - raw total energy (eV per atom) = -2.63
# - distance to the lowest polymorph of the same formula (meV/atom) = 450.6
# - raw formation energy (eV per atom) = 0.16

---

(6)
# PBE-GGA Sr2LiAl12Ir3, relaxed
data_Sr2LiAl12Ir3
_symmetry_space_group_name_H-M 'R -3 m'
_symmetry_Int_Tables_number 166
_symmetry_space_group_name_Hall '-R 3 2"'
_cell_length_a 9.2584
_cell_length_b 9.2584
_cell_length_c 18.0202
_cell_angle_alpha 90.00
_cell_angle_beta 90.00
_cell_angle_gamma 120.00
loop_
_atom_site_label
_atom_site_type_symbol
_atom_site_fract_x
_atom_site_fract_y
_atom_site_fract_z
Sr1 Sr 0.0000 0.0000 0.1101
Li1 Li 0.0000 0.0000 0.5000
Al1 Al 0.0202 0.5101 0.1341
Al2 Al 0.0992 0.5496 0.3009
Ir1 Ir 0.0000 0.5000 0.0000
# - ΔE_f (eV/atom) = -0.059
# - raw total energy (eV per atom) = -4.32

---

(7)
# PBE-GGA PuH3Pd3, relaxed
data_PuH3Pd3
_symmetry_space_group_name_H-M 'P m -3 n'
_symmetry_Int_Tables_number 223
_symmetry_space_group_name_Hall '-P 4n 2 3'
_cell_length_a 5.523
_cell_length_b 5.523
_cell_length_c 5.523
_cell_angle_alpha 90.00
_cell_angle_beta 90.00
_cell_angle_gamma 90.00
loop_
_atom_site_label
_atom_site_type_symbol
_atom_site_fract_x
_atom_site_fract_y
_atom_site_fract_z
Pu1 Pu 0.000 0.000 0.000
H1 H 0.000 0.250 0.500
Pd1 Pd 0.000 0.500 0.250
# - raw total energy (eV per atom) = -5.99

---

(8)
# PBE-GGA Sm4CoGe, relaxed
data_Sm4CoGe
_symmetry_space_group_name_H-M 'C 1 2/c 1'
_symmetry_Int_Tables_number 15
_symmetry_space_group_name_Hall '-C 2yc'
_cell_length_a 8.829
_cell_length_b 13.669
_cell_length_c 6.135
_cell_angle_alpha 90.00
_cell_angle_beta 120.35
_cell_angle_gamma 90.00
loop_
_atom_site_label
_atom_site_type_symbol
_atom_site_fract_x
_atom_site_fract_y
_atom_site_fract_z
Sm1 Sm 0.121 0.185 0.088
Sm2 Sm 0.220 0.439 0.312
Co1 Co 0.000 0.001 0.250
Ge1 Ge 0.000 0.372 0.750
# - ΔE_f (eV/atom) = -0.321
# - raw total energy (eV per atom) = -5.42
# - distance to the lowest polymorph of the same formula (meV/atom) = 0.0

---

(9)
# PBE-GGA Ta3Ni2, relaxed
data_Ta3Ni2
_symmetry_space_group_name_H-M 'P -3 m 1'
_symmetry_Int_Tables_number 164
_symmetry_space_group_name_Hall '-P 3 2"'
_cell_length_a 4.2133
_cell_length_b 4.2133
_cell_length_c 5.3141
_cell_angle_alpha 90.00
_cell_angle_beta 90.00
_cell_angle_gamma 120.00
loop_
_atom_site_label
_atom_site_type_symbol
_atom_site_fract_x
_atom_site_fract_y
_atom_site_fract_z
Ta1 Ta 0.0000 0.0000 0.0000
Ta2 Ta 0.3333 0.6667 0.3586
Ni1 Ni 0.3333 0.6667 0.8640
# - ΔE_f (eV/atom) = 0.156
# - raw total energy (eV per atom) = -9.27

---

(10)
# PBE-GGA ZnIn2As, relaxed
data_ZnIn2As
_symmetry_space_group_name_H-M 'I m m m'
_symmetry_Int_Tables_number 71
_symmetry_space_group_name_Hall '-I 2 2'
_cell_length_a 4.324
_cell_length_b 5.300
_cell_length_c 7.990
_cell_angle_alpha 90.00
_cell_angle_beta 90.00
_cell_angle_gamma 90.00
loop_
_atom_site_label
_atom_site_type_symbol
_atom_site_fract_x
_atom_site_fract_y
_atom_site_fract_z
Zn1 Zn 0.000 0.000 0.000
In1 In 0.000 0.500 0.257
As1 As 0.000 0.000 0.500
# - ΔE_f (eV/atom) = 0.130
# - raw total energy (eV per atom) = -2.72
# - distance to the lowest polymorph of the same formula (meV/atom) = 88.6

---

(11)
# PBE-GGA PrHo6Tl3, relaxed
data_PrHo6Tl3
_symmetry_space_group_name_H-M 'C m c 21'
_symmetry_Int_Tables_number 36
_symmetry_space_group_name_Hall 'C 2c -2'
_cell_length_a 11.427
_cell_length_b 12.783
_cell_length_c 8.519
_cell_angle_alpha 90.00
_cell_angle_beta 90.00
_cell_angle_gamma 90.00
loop_
_atom_site_label
_atom_site_type_symbol
_atom_site_fract_x
_atom_site_fract_y
_atom_site_fract_z
Pr1 Pr 0.000 0.183 0.000
Ho1 Ho 0.000 0.269 0.577
Ho2 Ho 0.000 0.465 0.191
Ho3 Ho 0.170 0.064 0.663
Ho4 Ho 0.244 0.318 0.808
Tl1 Tl 0.000 0.077 0.359
Tl2 Tl 0.190 0.415 0.460
# - ΔE_f (eV/atom) = -0.128
# - raw total energy (eV per atom) = -4.06

---

(12)
# PBE-GGA UP2Pt, relaxed
data_UP2Pt
_symmetry_space_group_name_H-M 'R -3 m'
_symmetry_Int_Tables_number 166
_symmetry_space_group_name_Hall '-R 3 2"'
_cell_length_a 3.9498
_cell_length_b 3.9498
_cell_length_c 15.7734
_cell_angle_alpha 90.00
_cell_angle_beta 90.00
_cell_angle_gamma 120.00
loop_
_atom_site_label
_atom_site_type_symbol
_atom_site_fract_x
_atom_site_fract_y
_atom_site_fract_z
U1 U 0.0000 0.0000 0.0000
P1 P 0.0000 0.0000 0.2406
Pt1 Pt 0.0000 0.0000 0.5000
# - ΔE_f (eV/atom) = -0.634
# - raw total energy (eV per atom) = -7.67
# - distance to the lowest polymorph of the same formula (meV/atom) = 38.7

---

(13)
# PBE-GGA CsMgV, relaxed
data_CsMgV
_symmetry_space_group_name_H-M 'P 1'
_symmetry_Int_Tables_number 1
_symmetry_space_group_name_Hall 'P 1'
_cell_length_a 3.295
_cell_length_b 7.982
_cell_length_c 8.046
_cell_angle_alpha 102.30
_cell_angle_beta 97.42
_cell_angle_gamma 98.21
loop_
_atom_site_label
_atom_site_type_symbol
_atom_site_fract_x
_atom_site_fract_y
_atom_site_fract_z
Cs1 Cs 0.000 0.000 0.000
Cs2 Cs 0.176 0.536 0.141
Mg1 Mg 0.378 0.943 0.532
Mg2 Mg 0.790 0.593 0.610
V1 V 0.250 0.299 0.678
V2 V 0.916 0.237 0.464
# - ΔE_f (eV/atom) = 0.679
# - raw total energy (eV per atom) = -3.18
# - distance to the lowest polymorph of the same formula (meV/atom) = 183.5

---

(14)
# PBE-GGA BaSr2N, relaxed
data_BaSr2N
_symmetry_space_group_name_H-M 'I -4 2 d'
_symmetry_Int_Tables_number 122
_symmetry_space_group_name_Hall 'I -4 2bw'
_cell_length_a 8.032
_cell_length_b 8.032
_cell_length_c 11.346
_cell_angle_alpha 90.00
_cell_angle_beta 90.00
_cell_angle_gamma 90.00
loop_
_atom_site_label
_atom_site_type_symbol
_atom_site_fract_x
_atom_site_fract_y
_atom_site_fract_z
Ba1 Ba 0.000 0.000 0.000
Sr1 Sr 0.001 0.750 0.625
N1 N 0.000 0.000 0.500
# - raw total energy (eV per atom) = -3.55
# - raw formation energy (eV per atom) = -0.14

---

(15)
# PBE-GGA BaY2W, relaxed
data_BaY2W
_symmetry_space_group_name_H-M 'F -4 3 m'
_symmetry_Int_Tables_number 216
_symmetry_space_group_name_Hall 'F -4 2 3'
_cell_length_a 7.668
_cell_length_b 7.668
_cell_length_c 7.668
_cell_angle_alpha 90.00
_cell_angle_beta 90.00
_cell_angle_gamma 90.00
loop_
_atom_site_label
_atom_site_type_symbol
_atom_site_fract_x
_atom_site_fract_y
_atom_site_fract_z
Ba1 Ba 0.000 0.000 0.000
Y1 Y 0.000 0.000 0.500
Y2 Y 0.250 0.250 0.750
W1 W 0.250 0.250 0.250
# - ΔE_f (eV/atom) = 0.964
# - raw total energy (eV per atom) = -5.99
# - distance to the lowest polymorph of the same formula (meV/atom) = 497.6

---

(16)
# PBE-GGA La2Sb3Pd9, relaxed
data_La2Sb3Pd9
_symmetry_space_group_name_H-M 'C m c m'
_symmetry_Int_Tables_number 63
_symmetry_space_group_name_Hall '-C 2c 2'
_cell_length_a 14.000
_cell_length_b 8.151
_cell_length_c 9.502
_cell_angle_alpha 90.00
_cell_angle_beta 90.00
_cell_angle_gamma 90.00
loop_
_atom_site_label
_atom_site_type_symbol
_atom_site_fract_x
_atom_site_fract_y
_atom_site_fract_z
La1 La 0.155 0.173 0.250
Sb1 Sb 0.000 0.000 0.000
Sb2 Sb 0.176 0.500 0.000
Pd1 Pd 0.000 0.145 0.750
Pd2 Pd 0.000 0.332 0.028
Pd3 Pd 0.098 0.458 0.750
Pd4 Pd 0.171 0.171 0.585
# - raw total energy (eV per atom) = -5.67
# - raw formation energy (eV per atom) = -0.74

---

(17)
# PBE-GGA CePuBr6, relaxed
data_CePuBr6
_symmetry_space_group_name_H-M 'R -3'
_symmetry_Int_Tables_number 148
_symmetry_space_group_name_Hall '-R 3'
_cell_length_a 7.2090
_cell_length_b 7.2090
_cell_length_c 20.1560
_cell_angle_alpha 90.00
_cell_angle_beta 90.00
_cell_angle_gamma 120.00
loop_
_atom_site_label
_atom_site_type_symbol
_atom_site_fract_x
_atom_site_fract_y
_atom_site_fract_z
Ce1 Ce 0.0000 0.0000 0.0000
Pu1 Pu 0.0000 0.0000 0.5000
Br1 Br 0.0006 0.6574 0.2506
# - raw total energy (eV per atom) = -5.42
# - distance to the lowest polymorph of the same formula (meV/atom) = 14.3
# - raw formation energy (eV per atom) = -1.64

---

(18)
# PBE-GGA CaSmEuLu, relaxed
data_CaSmEuLu
_symmetry_space_group_name_H-M 'F -4 3 m'
_symmetry_Int_Tables_number 216
_symmetry_space_group_name_Hall 'F -4 2 3'
_cell_length_a 8.276
_cell_length_b 8.276
_cell_length_c 8.276
_cell_angle_alpha 90.00
_cell_angle_beta 90.00
_cell_angle_gamma 90.00
loop_
_atom_site_label
_atom_site_type_symbol
_atom_site_fract_x
_atom_site_fract_y
_atom_site_fract_z
Ca1 Ca 0.000 0.000 0.000
Sm1 Sm 0.250 0.250 0.250
Eu1 Eu 0.250 0.250 0.750
Lu1 Lu 0.000 0.000 0.500
# - ΔE_f (eV/atom) = 0.143
# - raw total energy (eV per atom) = -5.24

---

(19)
# PBE-GGA KZrSbO6, relaxed
data_KZrSbO6
_symmetry_space_group_name_H-M 'P -3 1 c'
_symmetry_Int_Tables_number 163
_symmetry_space_group_name_Hall '-P 3 2c'
_cell_length_a 5.7842
_cell_length_b 5.7842
_cell_length_c 10.7711
_cell_angle_alpha 90.00
_cell_angle_beta 90.00
_cell_angle_gamma 120.00
loop_
_atom_site_label
_atom_site_type_symbol
_atom_site_fract_x
_atom_site_fract_y
_atom_site_fract_z
K1 K 0.0000 0.0000 0.0000
Zr1 Zr 0.3333 0.6667 0.2500
Sb1 Sb 0.3333 0.6667 0.7500
O1 O 0.0144 0.4169 0.6492
# - raw total energy (eV per atom) = -6.53
# - raw formation energy (eV per atom) = -1.69

---

(20)
# PBE-GGA SmHoGaIr, relaxed
data_SmHoGaIr
_symmetry_space_group_name_H-M 'F -4 3 m'
_symmetry_Int_Tables_number 216
_symmetry_space_group_name_Hall 'F -4 2 3'
_cell_length_a 7.070
_cell_length_b 7.070
_cell_length_c 7.070
_cell_angle_alpha 90.00
_cell_angle_beta 90.00
_cell_angle_gamma 90.00
loop_
_atom_site_label
_atom_site_type_symbol
_atom_site_fract_x
_atom_site_fract_y
_atom_site_fract_z
Sm1 Sm 0.000 0.000 0.000
Ho1 Ho 0.000 0.000 0.500
Ga1 Ga 0.250 0.250 0.250
Ir1 Ir 0.250 0.250 0.750
# - ΔE_f (eV/atom) = -0.627
# - raw total energy (eV per atom) = -5.92
# - distance to the lowest polymorph of the same formula (meV/atom) = 85.5